## MnOF (GGA+U)

Data for a relaxed structure of MnOF.

Cell and atoms, written as POSCAR:
```
MnOF
1.0
3.834 0.000 0.000
0.000 6.012 0.000
0.000 0.000 3.198
Mn O F
2 2 2
direct
0.000 0.158 0.000
0.500 0.842 0.500
0.000 0.923 0.440
0.500 0.077 0.940
0.000 0.363 0.542
0.500 0.637 0.042
```

SG: No. 31
E_tot in eV per atom: -6.70